Material: Sc2SCl
Method: DFT, GGA-PBE
State: optimized geometry

Properties
The calculation puts the density of states at the Fermi level at 3.408 states/eV/cell. For the total energy, the calculation gives -0.4477 Ry per atom. Its formation energy from raw total energies is -1.432 eV per atom. For the size of the total moment, the calculation gives 0.214 μB per atom. The symmetry is R-3m (166). The energy above the most stable polymorph in this dataset is 58 meV per atom.

a = 8.0040 Å, b = 8.0040 Å, c = 8.0040 Å
α = 26.32°, β = 26.32°, γ = 26.32°
Each line ends with the local moment (μB).
Element x y z (fractional)
Sc: 0.1053 0.1053 0.1053  0.23
Sc: 0.8947 0.8947 0.8947  0.23
Cl: 0.0000 0.0000 0.0000  -0.01
S: 0.5000 0.5000 0.5000  -0.01